1.
An optimized crystal structure of RbPd3Rh, computed with PBE-GGA.

extended XYZ file:
```
5
Lattice="4.9837 0.0000 0.0000 0.0000 4.9837 0.0000 0.0000 0.0000 4.9837" Properties=species:S:1:pos:R:3 pbc="T T T"
Rb 0.0000 0.0000 0.0000
Pd 0.0000 2.4918 2.4918
Pd 2.4918 0.0000 2.4918
Pd 2.4918 2.4918 0.0000
Rh 2.4918 2.4918 2.4918
```

Properties
For the calculated total energy, the calculation gives -20.520 eV/f.u. Its density of states at the Fermi level is 1.143 states/eV/atom.



2.
An optimized crystal structure of KAcPbO3, computed with PBE-GGA.

extended XYZ file:
```
12
Lattice="7.2754 0.0000 0.0000 0.0000 3.7865 0.0000 -0.8062 0.0000 9.3649" Properties=species:S:1:pos:R:3 pbc="T T T"
K 0.6194 0.9466 2.7697
K 5.8498 2.8399 6.5952
Ac 2.3760 0.9466 6.1331
Ac 4.0932 2.8399 3.2318
Pb 1.1521 2.8399 9.0230
Pb 5.3171 0.9466 0.3419
O 0.4054 0.9466 7.7102
O 1.9233 2.8399 4.5402
O 3.4663 0.9466 1.6416
O 3.0029 2.8399 7.7233
O 4.5459 0.9466 4.8247
O 6.0638 2.8399 1.6547
```

Properties
For the calculated total energy, the calculation gives -36.148 eV/f.u. Its density of states at the Fermi level is 0.000 states/eV/atom. Its formation energy without anion corrections is -2059.8 meV per atom.



3.
An optimized crystal structure of MnFe2Co, computed with PBE-GGA.

extended XYZ file:
```
4
Lattice="2.4616 0.0000 0.0000 0.0000 3.5423 0.0000 0.0000 0.0000 4.9255" Properties=species:S:1:pos:R:3 pbc="T T T"
Mn 0.0000 0.0000 0.0000
Fe 0.0000 0.0000 2.4322
Fe 1.2308 1.7711 3.6843
Co 1.2308 1.7711 1.2313
```

Properties
For the calculated total energy, the calculation gives -32.904 eV/f.u. Its density of states at the Fermi level is 1.129 states/eV/atom.



4.
An optimized crystal structure of Pm3B9Ir2, computed with PBE-GGA.

extended XYZ file:
```
14
Lattice="-1.5861 4.1135 7.0305 1.5861 -4.1135 7.0305 1.5861 4.1135 -7.0305" Properties=species:S:1:pos:R:3 pbc="T T T"
Pm 0.0000 0.0000 0.0000
Pm 0.0000 0.0000 3.7864
Pm 0.0000 0.0000 10.2746
B 1.5861 1.6234 -1.8806
B 1.5861 -2.0731 5.1549
B 1.5861 1.6234 1.8806
B 0.0000 2.0404 1.8756
B 0.0000 4.1135 0.0000
B 1.5861 2.0731 5.1549
B 0.0000 2.4901 5.1500
B 0.0000 6.1866 1.8756
B 0.0000 2.4901 8.9111
Ir 1.5861 2.7397 0.0000
Ir 0.0000 1.3738 7.0305
```

Properties
For the calculated total energy, the calculation gives -94.872 eV/f.u. Its density of states at the Fermi level is 0.485 states/eV/atom.



5.
An optimized crystal structure of H6PdRuPb2, computed with PBE-GGA.

extended XYZ file:
```
10
Lattice="-2.6721 2.6721 3.7720 2.6721 -2.6721 3.7720 2.6721 2.6721 -3.7720" Properties=species:S:1:pos:R:3 pbc="T T T"
H 0.0000 0.0000 1.8042
H 1.2766 1.2766 0.0000
H 1.3955 -1.3955 3.7720
H -1.3955 1.3955 3.7720
H 0.0000 0.0000 5.7398
H 1.3955 1.3955 3.7720
Pd 0.0000 0.0000 3.7720
Ru 0.0000 0.0000 0.0000
Pb 2.6721 0.0000 1.8860
Pb 0.0000 2.6721 1.8860
```

Properties
For the calculated total energy, the calculation gives -41.158 eV/f.u. Its density of states at the Fermi level is 0.064 states/eV/atom.



6.
An optimized crystal structure of TiV4S8, computed with PBE-GGA.

extended XYZ file:
```
13
Lattice="3.3561 1.9376 5.7201 -3.3561 1.9376 5.7201 0.0000 -3.8752 5.7201" Properties=species:S:1:pos:R:3 pbc="T T T"
Ti 0.0000 0.0000 0.0000
V -3.3561 0.0000 8.5801
V -1.6780 0.9688 2.8600
V 1.6780 0.9688 2.8600
V 0.0000 0.0000 8.5801
S 0.0000 0.0000 4.2314
S 0.0000 -1.9136 7.1391
S -1.6572 0.9568 7.1391
S -1.6572 -0.9568 10.0211
S 1.6572 0.9568 7.1391
S 1.6572 -0.9568 10.0211
S 0.0000 1.9136 10.0211
S 0.0000 0.0000 12.9288
```

Properties
For the calculated total energy, the calculation gives -89.789 eV/f.u. Its density of states at the Fermi level is 0.749 states/eV/atom. Its formation energy without anion corrections is -953.9 meV per atom.



7.
An optimized crystal structure of Re3Sb, computed with PBE-GGA.

extended XYZ file:
```
4
Lattice="2.9696 0.0000 0.0000 -1.4848 2.5718 0.0000 0.0000 0.0000 8.5733" Properties=species:S:1:pos:R:3 pbc="T T T"
Re 0.0000 0.0000 0.0000
Re 0.0000 1.7145 2.0974
Re 0.0000 1.7145 6.4758
Sb 0.0000 0.0000 4.2866
```

Properties
For the calculated total energy, the calculation gives -39.398 eV/f.u. Its density of states at the Fermi level is 0.607 states/eV/atom. Its formation energy without anion corrections is 517.2 meV per atom.



8.
An optimized crystal structure of Li2TbTmAu4, computed with PBE-GGA.

extended XYZ file:
```
8
Lattice="2.4428 1.4103 7.7690 -2.4428 1.4103 7.7690 0.0000 -2.8206 7.7690" Properties=species:S:1:pos:R:3 pbc="T T T"
Li 0.0000 0.0000 5.8244
Li 0.0000 0.0000 17.4827
Tb 0.0000 0.0000 0.0000
Tm 0.0000 0.0000 11.6535
Au 0.0000 0.0000 3.0058
Au 0.0000 0.0000 8.7155
Au 0.0000 0.0000 14.5915
Au 0.0000 0.0000 20.3012
```

Properties
For the calculated total energy, the calculation gives -31.792 eV/f.u. Its density of states at the Fermi level is 0.549 states/eV/atom.



9.
An optimized crystal structure of InHCl3, computed with PBE-GGA.

extended XYZ file:
```
10
Lattice="6.8873 0.0000 0.0000 -1.0428 6.9347 0.0000 -3.3923 -1.3194 6.6664" Properties=species:S:1:pos:R:3 pbc="T T T"
In 0.0000 0.0000 0.0000
In 0.0591 -0.1530 5.5430
H 2.5299 4.7954 1.6530
H 3.3656 2.0141 3.8909
Cl -1.0582 5.1558 1.5135
Cl -2.3258 4.7449 5.2755
Cl 1.3434 2.0361 0.2687
Cl 0.0747 1.6227 4.0259
Cl 1.1380 5.5186 4.5833
Cl 4.7666 1.2633 0.9590
```

Properties
For the calculated total energy, the calculation gives -13.602 eV/f.u. Its density of states at the Fermi level is 0.000 states/eV/atom.



> The highest density of states at the Fermi level belongs to which entry?

RbPd3Rh



> Which formula does entry 8 have?

Li2TbTmAu4



Copy entry 3 word for word.
An optimized crystal structure of MnFe2Co, computed with PBE-GGA.

extended XYZ file:
```
4
Lattice="2.4616 0.0000 0.0000 0.0000 3.5423 0.0000 0.0000 0.0000 4.9255" Properties=species:S:1:pos:R:3 pbc="T T T"
Mn 0.0000 0.0000 0.0000
Fe 0.0000 0.0000 2.4322
Fe 1.2308 1.7711 3.6843
Co 1.2308 1.7711 1.2313
```

Properties
For the calculated total energy, the calculation gives -32.904 eV/f.u. Its density of states at the Fermi level is 1.129 states/eV/atom.



> Among the records above, which one has the lowest calculated total energy?

Pm3B9Ir2